Record 1
The following is a PBE calculation of crystalline Sm4OsPd at its relaxed geometry, from Alexandria.

a = 7.9349 Å, b = 7.9349 Å, c = 7.9349 Å
α = 106.85°, β = 106.85°, γ = 114.85°
With the nearest neighbours (Å) after each atom.
Element x y z (fractional)
Sm (0.2592, 0.9554, 0.6962)  1 Os 2.76, 2 Pd 2.87-2.89
Sm (0.7416, 0.4442, 0.7026)  2 Os 2.81-2.82, 1 Pd 2.92
Sm (0.7054, 0.5092, 0.1962)  1 Os 2.76, 2 Pd 2.87-2.89
Sm (0.1942, 0.9916, 0.2026)  2 Os 2.81-2.82, 1 Pd 2.92
Sm (0.3130, 0.5092, 0.8038)  1 Os 2.76, 2 Pd 2.87-2.89
Sm (0.7890, 0.9916, 0.7974)  2 Os 2.81-2.82, 1 Pd 2.92
Sm (0.7416, 0.0390, 0.2974)  2 Os 2.81-2.82, 1 Pd 2.92
Sm (0.2592, 0.5630, 0.3038)  1 Os 2.76, 2 Pd 2.87-2.89
Os (0.7487, 0.7487, 0.0000)  6 Sm 2.76-2.82
Os (0.4987, 0.9987, 0.5000)  6 Sm 2.76-2.82
Pd (0.2497, 0.2497, 0.0000)  6 Sm 2.87-2.92
Pd (0.9997, 0.4997, 0.5000)  6 Sm 2.87-2.92

Relative energy among the computed polymorphs in eV per atom: 0.115
Formation energy in eV/atom: -0.244

***

Record 2
The following is a PBE calculation of crystalline V4CuPt5 at its relaxed geometry, from Alexandria.

a = 2.7285 Å, b = 2.7285 Å, c = 19.1432 Å
α = 90.00°, β = 90.00°, γ = 90.00°
With the nearest neighbours (Å) after each atom.
Element x y z (fractional)
V (0.0000, 0.0000, 0.1954)  8 Pt 2.66-2.74, 4 V 2.73
V (0.0000, 0.0000, 0.3984)  4 V 2.73, 8 Pt 2.73-2.74
V (0.0000, 0.0000, 0.6016)  4 V 2.73, 8 Pt 2.73-2.74
V (0.0000, 0.0000, 0.8046)  8 Pt 2.66-2.74, 4 V 2.73
Cu (0.0000, 0.0000, 0.0000)  8 Pt 2.72, 4 Cu 2.73
Pt (0.5000, 0.5000, 0.0998)  4 V 2.66, 4 Cu 2.72, 4 Pt 2.73
Pt (0.5000, 0.5000, 0.2972)  4 Pt 2.73, 8 V 2.73-2.74
Pt (0.5000, 0.5000, 0.5000)  4 Pt 2.73, 8 V 2.74
Pt (0.5000, 0.5000, 0.7028)  4 Pt 2.73, 8 V 2.73-2.74
Pt (0.5000, 0.5000, 0.9002)  4 V 2.66, 4 Cu 2.72, 4 Pt 2.73

Formation energy in eV/atom: -0.514

***

Record 3
The following is a PBE calculation of crystalline Tb2Sm2DyMg2 at its relaxed geometry, from Alexandria.

a = 5.4810 Å, b = 5.4810 Å, c = 8.6685 Å
α = 71.57°, β = 71.57°, γ = 60.00°
With the nearest neighbours (Å) after each atom.
Element x y z (fractional)
Tb (0.5737, 0.5737, 0.2789)  4 Mg 3.30-3.39, 3 Sm 3.51, 1 Tb 3.57
Tb (0.4263, 0.4263, 0.7211)  4 Mg 3.30-3.39, 3 Sm 3.51, 1 Tb 3.57
Sm (0.1555, 0.1555, 0.5334)  3 Sm 3.21, 1 Mg 3.26, 3 Tb 3.51
Sm (0.8445, 0.8445, 0.4666)  3 Sm 3.21, 1 Mg 3.26, 3 Tb 3.51
Dy (0.0000, 0.0000, 0.0000)  6 Mg 3.33
Mg (0.7098, 0.7098, 0.8706)  1 Sm 3.26, 4 Tb 3.30-3.39, 3 Dy 3.33
Mg (0.2902, 0.2902, 0.1294)  1 Sm 3.26, 4 Tb 3.30-3.39, 3 Dy 3.33

Formation energy in eV/atom: -0.017

***

Record 4
The following is a PBE calculation of crystalline Dy3Al2BOs3 at its relaxed geometry, from Alexandria.

a = 3.4850 Å, b = 7.2284 Å, c = 7.2284 Å
α = 120.00°, β = 90.00°, γ = 90.00°
With the nearest neighbours (Å) after each atom.
Element x y z (fractional)
Dy (0.0000, 0.0000, 0.3681)  1 B 2.66, 4 Al 2.88, 4 Os 2.91
Dy (0.0000, 0.6319, 0.6319)  1 B 2.66, 4 Al 2.88, 4 Os 2.91
Dy (0.0000, 0.3681, 0.0000)  1 B 2.66, 4 Al 2.88, 4 Os 2.91
Al (0.5000, 0.3333, 0.6667)  3 Os 2.84, 6 Dy 2.88
Al (0.5000, 0.6667, 0.3333)  3 Os 2.84, 6 Dy 2.88
B (0.0000, 0.0000, 0.0000)  6 Os 2.43, 3 Dy 2.66
Os (0.5000, 0.7660, 0.0000)  2 B 2.43
Os (0.5000, 0.2340, 0.2340)  2 B 2.43
Os (0.5000, 0.0000, 0.7660)  2 B 2.43

Formation energy in eV/atom: -0.236